Density functional theory data (PBE-GGA) for an optimized crystal structure of Mn2ReOs2.

## Properties
Energy of formation from the pure elements: 0.163 eV per atom
Total magnetization: 0.00 μB/cell

a = 6.985 Å, b = 6.985 Å, c = 2.721 Å
α = 90.00°, β = 90.00°, γ = 90.00°
Space group P4/mbm (No. 127)
One atom of each set of equivalent atoms:
Mn  0.121  0.379  0.000
Re  0.000  0.000  0.000
Os  0.174  0.674  0.500